Material: HoTlInPb
Method: DFT, GGA-PBE
State: relaxed

Calculated values
Total energy in eV/atom: -3.454
Relative energy among the computed polymorphs in meV/atom: 171
Energy of formation from the pure elements in eV per atom: -0.106
Spin magnetization in μB per formula unit: 0.000

Lattice parameters (Å, degrees): 5.449 5.449 5.449 60.00 60.00 60.00
Element x y z (fractional)
Pb 0.750 0.750 0.750
Tl 0.000 0.000 0.000
Ho 0.250 0.250 0.250
In 0.500 0.500 0.500

Material: HoTlInPb
Method: DFT, GGA-PBE
State: relaxed

Calculated values
Total energy in eV/atom: -3.625
Relative energy among the computed polymorphs in meV/atom: 0
Energy of formation from the pure elements in eV per atom: -0.277
Spin magnetization in μB per formula unit: 0.000

Lattice parameters (Å, degrees): 4.732 4.982 4.569 90.00 90.00 90.00
Element x y z (fractional)
Ho 0.000 0.500 0.500
Tl 0.000 0.000 0.000
In 0.500 0.000 0.500
Pb 0.500 0.500 0.000

Material: HoTm5In2Pb
Method: DFT, GGA-PBE
State: relaxed

Calculated values
Total energy in eV/atom: -4.054
Energy of formation from the pure elements in eV per atom: -0.040
Spin magnetization in μB per formula unit: 0.000

Lattice parameters (Å, degrees): 8.476 8.476 9.286 117.16 117.16 90.00
Element x y z (fractional)
Ho 0.250 0.750 0.500
Ho 0.750 0.250 0.500
Tm 0.923 0.423 0.266
Tm 0.657 0.157 0.734
Tm 0.077 0.577 0.734
Tm 0.157 0.077 0.734
Tm 0.577 0.657 0.734
Tm 0.843 0.923 0.266
Tm 0.423 0.343 0.266
Tm 0.343 0.843 0.266
Tm 0.500 0.500 0.000
Tm 0.000 0.000 0.000
In 0.111 0.389 0.000
In 0.611 0.111 0.000
In 0.389 0.889 0.000
In 0.889 0.611 0.000
Pb 0.250 0.250 0.500
Pb 0.750 0.750 0.500

Material: HoIn2Pd7
Method: DFT, GGA-PBE
State: relaxed

Calculated values
Total energy in eV/atom: -4.819
Energy of formation from the pure elements in eV per atom: -0.179
Spin magnetization in μB per formula unit: 0.000

Lattice parameters (Å, degrees): 4.372 7.809 7.809 123.88 90.00 90.00
Element x y z (fractional)
Ho 0.000 0.000 0.000
In 0.500 0.698 0.302
In 0.500 0.302 0.698
Pd 0.000 0.805 0.195
Pd 0.000 0.195 0.805
Pd 0.500 0.079 0.287
Pd 0.500 0.921 0.713
Pd 0.500 0.287 0.079
Pd 0.500 0.713 0.921
Pd 0.500 0.500 0.500

Material: HoIn4Pd15
Method: DFT, GGA-PBE
State: relaxed

Calculated values
Total energy in eV/atom: -5.193
Energy of formation from the pure elements in eV per atom: -0.521
Spin magnetization in μB per formula unit: 0.000

Lattice parameters (Å, degrees): 4.063 4.063 20.188 90.00 90.00 90.00
Element x y z (fractional)
Ho 0.000 0.000 0.000
In 0.000 0.000 0.203
In 0.000 0.000 0.401
In 0.000 0.000 0.599
In 0.000 0.000 0.797
Pd 0.500 0.500 0.000
Pd 0.500 0.500 0.202
Pd 0.500 0.500 0.401
Pd 0.500 0.500 0.599
Pd 0.500 0.500 0.798
Pd 0.500 0.000 0.103
Pd 0.500 0.000 0.302
Pd 0.500 0.000 0.500
Pd 0.500 0.000 0.698
Pd 0.500 0.000 0.897
Pd 0.000 0.500 0.103
Pd 0.000 0.500 0.302
Pd 0.000 0.500 0.500
Pd 0.000 0.500 0.698
Pd 0.000 0.500 0.897

Material: HoInPd
Method: DFT, GGA-PBE
State: relaxed

Calculated values
Total energy in eV/atom: -4.850
Energy of formation from the pure elements in eV per atom: -0.680
Spin magnetization in μB per formula unit: 0.000

Lattice parameters (Å, degrees): 3.524 4.697 4.697 120.00 90.00 90.00
Element x y z (fractional)
Ho 0.666 0.667 0.333
Pd 0.167 0.333 0.667
In 0.167 0.000 0.000

Material: Ho11In9Pd4
Method: DFT, GGA-PBE
State: relaxed

Calculated values
Total energy in eV/atom: -4.666
Energy of formation from the pure elements in eV per atom: -0.676
Spin magnetization in μB per formula unit: 0.000

Lattice parameters (Å, degrees): 3.655 13.193 13.193 112.81 90.00 90.00
Element x y z (fractional)
Ho 0.000 0.586 0.928
Ho 0.000 0.414 0.072
Ho 0.000 0.928 0.586
Ho 0.000 0.072 0.414
Ho 0.000 0.628 0.372
Ho 0.000 0.372 0.628
Ho 0.000 0.840 0.160
Ho 0.000 0.160 0.840
Ho 0.000 0.000 0.000
Ho 0.000 0.692 0.692
Ho 0.000 0.308 0.308
In 0.500 0.632 0.157
In 0.500 0.368 0.843
In 0.500 0.157 0.632
In 0.500 0.843 0.368
In 0.500 0.784 0.928
In 0.500 0.216 0.072
In 0.500 0.928 0.784
In 0.500 0.072 0.216
In 0.500 0.500 0.500
Pd 0.500 0.551 0.754
Pd 0.500 0.449 0.246
Pd 0.500 0.754 0.551
Pd 0.500 0.246 0.449

Material: HoIn4Pd7
Method: DFT, GGA-PBE
State: relaxed

Calculated values
Total energy in eV/atom: -4.782
Energy of formation from the pure elements in eV per atom: -0.459
Spin magnetization in μB per formula unit: 0.000

Lattice parameters (Å, degrees): 4.990 8.748 6.127 81.59 65.97 73.43
Element x y z (fractional)
Ho 0.000 0.000 0.000
In 0.589 0.225 0.598
In 0.411 0.775 0.402
In 0.739 0.666 0.855
In 0.261 0.334 0.145
Pd 0.782 0.907 0.529
Pd 0.218 0.093 0.471
Pd 0.067 0.668 0.199
Pd 0.933 0.332 0.801
Pd 0.359 0.535 0.746
Pd 0.500 0.000 0.000
Pd 0.641 0.465 0.254

Material: Ho6InPd5
Method: DFT, GGA-PBE
State: relaxed

Calculated values
Total energy in eV/atom: -5.488
Energy of formation from the pure elements in eV per atom: -0.807
Spin magnetization in μB per formula unit: 0.000

Lattice parameters (Å, degrees): 5.000 7.046 7.963 90.00 108.55 90.00
Element x y z (fractional)
Ho 0.829 0.747 0.656
Ho 0.829 0.253 0.656
Ho 0.500 0.265 0.000
Ho 0.500 0.735 0.000
Ho 0.171 0.747 0.344
Ho 0.171 0.253 0.344
Pd 0.666 0.500 0.335
Pd 0.349 0.000 0.694
Pd 0.000 0.500 0.000
Pd 0.651 0.000 0.306
Pd 0.334 0.500 0.665
In 0.000 0.000 0.000

Material: Ho6In3Pd
Method: DFT, GGA-PBE
State: relaxed

Calculated values
Total energy in eV/atom: -4.520
Energy of formation from the pure elements in eV per atom: -0.433
Spin magnetization in μB per formula unit: 0.000

Lattice parameters (Å, degrees): 5.260 9.179 11.497 108.52 90.00 90.00
Element x y z (fractional)
Ho 0.250 0.460 0.083
Ho 0.750 0.540 0.917
Ho 0.250 0.135 0.161
Ho 0.750 0.865 0.839
Ho 0.250 0.679 0.668
Ho 0.750 0.321 0.332
Ho 0.250 0.229 0.496
Ho 0.750 0.771 0.504
Ho 0.250 0.852 0.323
Ho 0.750 0.148 0.677
Ho 0.250 0.098 0.863
Ho 0.750 0.902 0.137
In 0.250 0.520 0.378
In 0.750 0.480 0.622
In 0.250 0.391 0.782
In 0.750 0.609 0.218
In 0.250 0.776 0.974
In 0.750 0.224 0.026
Pd 0.250 0.958 0.600
Pd 0.750 0.042 0.400

Material: HoInPd6
Method: DFT, GGA-PBE
State: relaxed

Calculated values
Total energy in eV/atom: -5.162
Relative energy among the computed polymorphs in meV/atom: 311
Energy of formation from the pure elements in eV per atom: -0.353
Spin magnetization in μB per formula unit: 0.000

Lattice parameters (Å, degrees): 4.941 4.941 7.295 74.88 74.88 66.42
Element x y z (fractional)
Ho 0.500 0.500 0.500
In 0.000 0.000 0.000
Pd 0.058 0.540 0.298
Pd 0.540 0.058 0.298
Pd 0.460 0.942 0.702
Pd 0.942 0.460 0.702
Pd 0.359 0.359 0.936
Pd 0.641 0.641 0.064

Material: Ho2In3Pd7
Method: DFT, GGA-PBE
State: relaxed

Calculated values
Total energy in eV/atom: -5.030
Relative energy among the computed polymorphs in meV/atom: 0
Energy of formation from the pure elements in eV per atom: -0.554
Spin magnetization in μB per formula unit: 0.000

Lattice parameters (Å, degrees): 4.605 4.836 11.204 102.44 90.00 90.00
Element x y z (fractional)
Ho 0.500 0.653 0.306
Ho 0.500 0.347 0.694
In 0.500 0.500 0.000
In 0.000 0.142 0.284
In 0.000 0.858 0.716
Pd 0.500 0.215 0.429
Pd 0.500 0.785 0.571
Pd 0.000 0.572 0.145
Pd 0.000 0.000 0.000
Pd 0.000 0.428 0.855
Pd 0.500 0.930 0.858
Pd 0.500 0.070 0.142

Material: HoInPd6
Method: DFT, GGA-PBE
State: relaxed

Calculated values
Total energy in eV/atom: -5.473
Relative energy among the computed polymorphs in meV/atom: 0
Energy of formation from the pure elements in eV per atom: -0.664
Spin magnetization in μB per formula unit: 0.000

Lattice parameters (Å, degrees): 4.076 4.076 8.162 90.00 90.00 90.00
Element x y z (fractional)
Ho 0.000 0.000 0.500
In 0.000 0.000 0.000
Pd 0.500 0.500 0.000
Pd 0.500 0.500 0.500
Pd 0.500 0.000 0.245
Pd 0.500 0.000 0.755
Pd 0.000 0.500 0.245
Pd 0.000 0.500 0.755

Material: HoIn2Pd
Method: DFT, GGA-PBE
State: relaxed

Calculated values
Total energy in eV/atom: -4.304
Energy of formation from the pure elements in eV per atom: -0.492
Spin magnetization in μB per formula unit: 0.350

Lattice parameters (Å, degrees): 3.418 3.418 7.484 90.00 90.00 90.00
Element x y z (fractional)
Ho 0.500 0.500 0.500
Pd 0.500 0.500 0.000
In 0.000 0.000 0.791
In 0.000 0.000 0.209

Material: Ho3In2Pd2
Method: DFT, GGA-PBE
State: relaxed

Calculated values
Total energy in eV/atom: -4.943
Energy of formation from the pure elements in eV per atom: -0.715
Spin magnetization in μB per formula unit: 0.000

Lattice parameters (Å, degrees): 4.081 3.624 11.369 90.00 79.66 90.00
Element x y z (fractional)
Ho 0.830 0.000 0.339
Ho 0.000 0.000 0.000
Ho 0.170 0.000 0.661
In 0.582 0.500 0.836
In 0.418 0.500 0.164
Pd 0.709 0.500 0.581
Pd 0.291 0.500 0.419

Material: Ho5In4Pd
Method: DFT, GGA-PBE
State: relaxed

Calculated values
Total energy in eV/atom: -4.462
Energy of formation from the pure elements in eV per atom: -0.559
Spin magnetization in μB per formula unit: 0.001

Lattice parameters (Å, degrees): 3.522 3.522 20.362 90.00 90.00 90.00
Element x y z (fractional)
Ho 0.500 0.500 0.084
Ho 0.500 0.500 0.292
Ho 0.500 0.500 0.500
Ho 0.500 0.500 0.708
Ho 0.500 0.500 0.916
In 0.000 0.000 0.189
In 0.000 0.000 0.396
In 0.000 0.000 0.604
In 0.000 0.000 0.811
Pd 0.000 0.000 0.000

Material: HoInPd
Method: DFT, GGA-PBE
State: relaxed

Calculated values
Total energy in eV/atom: -4.825
Energy of formation from the pure elements in eV per atom: -0.655
Spin magnetization in μB per formula unit: 0.000

Lattice parameters (Å, degrees): 4.706 4.706 4.706 60.00 60.00 60.00
Element x y z (fractional)
Ho 0.000 0.000 0.000
Pd 0.250 0.250 0.250
In 0.500 0.500 0.500

Material: Ho4InPd3
Method: DFT, GGA-PBE
State: relaxed

Calculated values
Total energy in eV/atom: -5.338
Energy of formation from the pure elements in eV per atom: -0.760
Spin magnetization in μB per formula unit: 0.000

Lattice parameters (Å, degrees): 5.020 7.174 10.040 90.00 90.00 90.00
Element x y z (fractional)
Ho 0.500 0.763 0.000
Ho 0.500 0.763 0.500
Ho 0.500 0.237 0.000
Ho 0.500 0.237 0.500
Ho 0.000 0.763 0.750
Ho 0.000 0.763 0.250
Ho 0.000 0.237 0.250
Ho 0.000 0.237 0.750
Pd 0.000 0.000 0.000
Pd 0.000 0.000 0.500
Pd 0.500 0.000 0.750
Pd 0.500 0.000 0.250
Pd 0.500 0.500 0.750
Pd 0.500 0.500 0.250
In 0.000 0.500 0.000
In 0.000 0.500 0.500

Material: Ho2InPd9
Method: DFT, GGA-PBE
State: relaxed

Calculated values
Total energy in eV/atom: -5.626
Energy of formation from the pure elements in eV per atom: -0.740
Spin magnetization in μB per formula unit: 0.000

Lattice parameters (Å, degrees): 4.100 4.100 12.207 90.00 90.00 90.00
Element x y z (fractional)
Ho 0.000 0.000 0.330
Ho 0.000 0.000 0.670
In 0.000 0.000 0.000
Pd 0.500 0.500 0.000
Pd 0.500 0.500 0.332
Pd 0.500 0.500 0.668
Pd 0.500 0.000 0.162
Pd 0.500 0.000 0.500
Pd 0.500 0.000 0.838
Pd 0.000 0.500 0.162
Pd 0.000 0.500 0.500
Pd 0.000 0.500 0.838

Material: HoIn4Pd2
Method: DFT, GGA-PBE
State: relaxed

Calculated values
Total energy in eV/atom: -4.226
Energy of formation from the pure elements in eV per atom: -0.523
Spin magnetization in μB per formula unit: 0.000

Lattice parameters (Å, degrees): 4.516 7.284 18.472 90.00 90.00 90.00
Element x y z (fractional)
Ho 0.750 0.963 0.643
Ho 0.250 0.037 0.357
Ho 0.250 0.463 0.857
Ho 0.750 0.537 0.143
In 0.250 0.252 0.690
In 0.750 0.748 0.310
In 0.750 0.752 0.810
In 0.250 0.248 0.190
In 0.250 0.667 0.687
In 0.750 0.333 0.313
In 0.750 0.167 0.813
In 0.250 0.833 0.187
In 0.250 0.141 0.534
In 0.750 0.859 0.466
In 0.750 0.641 0.966
In 0.250 0.359 0.034
In 0.250 0.496 0.431
In 0.750 0.504 0.569
In 0.750 0.996 0.069
In 0.250 0.004 0.931
Pd 0.250 0.753 0.542
Pd 0.750 0.247 0.458
Pd 0.750 0.253 0.958
Pd 0.250 0.747 0.042
Pd 0.250 0.956 0.782
Pd 0.750 0.044 0.218
Pd 0.750 0.456 0.718
Pd 0.250 0.544 0.282